Cs2AgMoO4 | PBE with a Hubbard U | relaxed

Structure (POSCAR):
```
Cs2AgMoO4
1.0
0.0000 6.5550 10.7070
2.8827 0.0000 10.7070
2.8827 6.5550 0.0000
Cs Ag Mo O
4 2 2 8
Direct
0.0509 0.0509 0.6991
0.3009 0.3009 0.9491
0.6991 0.6991 0.0509
0.9491 0.9491 0.3009
0.1250 0.1250 0.1250
0.8750 0.8750 0.8750
0.3750 0.3750 0.3750
0.6250 0.6250 0.6250
0.0471 0.6159 0.5191
0.3179 0.5191 0.6159
0.3841 0.9529 0.6821
0.4809 0.6821 0.9529
0.5191 0.3179 0.0471
0.6159 0.0471 0.3179
0.6821 0.4809 0.3841
0.9529 0.3841 0.4809
```

DFT total energy = -5.19 eV/atom